## MoRu2F (GGA+U)

Data for a relaxed MoRu2F crystal.

- E above lowest polymorph (eV/f.u.) = 0.00

Cell and atoms, written as POSCAR:
```
MoRu2F
1.0
-3.1159 1.4061 2.5999
-2.6336 3.1324 -1.3031
-4.1065 -0.8815 -0.8974
F Ru Mo
1 2 1
direct
0.0000 0.0000 0.0000
0.7500 0.7500 0.7500
0.2500 0.2500 0.2500
0.5000 0.5000 0.5000
```